Record 1
A geometry-optimized PmThCd17 structure. Source: Alexandria, functional PBE-GGA.

For the volume, the calculation gives 440 Å³ per cell. The calculation puts the density at 8626 kg/m3.

Cell: 7.6721 7.6721 7.6721 Å, 82.33 82.33 82.33°
Positions (direct):
Cd  0.6545  0.1306  0.6545
Cd  0.9995  0.3032  0.6990
Cd  0.8972  0.8972  0.8972
Cd  0.6545  0.6545  0.1306
Cd  0.8001  0.3720  0.3720
Cd  0.9995  0.6990  0.3032
Cd  0.4786  0.0190  0.0190
Cd  0.1306  0.6545  0.6545
Cd  0.3720  0.3720  0.8001
Cd  0.3032  0.6990  0.9995
Cd  0.0945  0.0945  0.0945
Cd  0.6990  0.9995  0.3032
Cd  0.0190  0.4786  0.0190
Cd  0.0190  0.0190  0.4786
Cd  0.3032  0.9995  0.6990
Cd  0.3720  0.8001  0.3720
Cd  0.6990  0.3032  0.9995
Th  0.6705  0.6705  0.6705
Pm  0.3341  0.3341  0.3341



Record 2
A geometry-optimized Pm6ThCd structure. Source: Alexandria, functional PBE-GGA.

For the volume, the calculation gives 259 Å³ per cell. The calculation puts the density at 7796 kg/m3.

Cell: 4.9780 4.9780 11.0161 Å, 76.94 76.94 90.00°
Positions (direct):
Pm  0.7476  0.7476  0.5048
Pm  0.6203  0.1203  0.7594
Pm  0.8797  0.3797  0.2406
Pm  0.3797  0.8797  0.2406
Pm  0.2524  0.2524  0.4952
Pm  0.1203  0.6203  0.7594
Th  0.5000  0.5000  0.0000
Cd  0.0000  0.0000  0.0000



Record 3
A geometry-optimized PmTh2Cd structure. Source: Alexandria, functional PBE-GGA.

The energy above the lowest structure with this stoichiometry is 0 kJ/mol of formula units. For the volume, the calculation gives 121 Å³ per cell. The calculation puts the density at 9928 kg/m3.

Cell: 5.0676 4.8797 4.8797 Å, 90.00 90.00 90.00°
Positions (direct):
Cd  0.5000  0.0000  0.0000
Th  0.0000  0.5000  0.0000
Th  0.0000  0.0000  0.5000
Pm  0.5000  0.5000  0.5000



Record 4
A geometry-optimized PmThCd3 structure. Source: Alexandria, functional PBE-GGA.

For the volume, the calculation gives 265 Å³ per cell. The calculation puts the density at 8946 kg/m3.

Cell: 5.0738 3.4286 15.3383 Å, 96.42 90.00 90.00°
Positions (direct):
Cd  0.7500  0.6208  0.2417
Cd  0.2500  0.3792  0.7583
Cd  0.7500  0.3262  0.6524
Cd  0.7500  0.5238  0.0476
Cd  0.2500  0.6738  0.3476
Cd  0.2500  0.4762  0.9524
Pm  0.2500  0.7857  0.5714
Pm  0.7500  0.2143  0.4286
Th  0.2500  0.0742  0.1485
Th  0.7500  0.9258  0.8515



Record 5
A geometry-optimized PmTh2Cd structure. Source: Alexandria, functional PBE-GGA.

The energy above the lowest structure with this stoichiometry is 52 kJ/mol of formula units. For the volume, the calculation gives 121 Å³ per cell. The calculation puts the density at 9900 kg/m3.

Cell: 5.5521 5.5521 5.5521 Å, 60.00 60.00 60.00°
Positions (direct):
Pm  0.0000  0.0000  0.0000
Th  0.7500  0.7500  0.7500
Th  0.2500  0.2500  0.2500
Cd  0.5000  0.5000  0.5000



Record 6
A geometry-optimized PmThCd structure. Source: Alexandria, functional PBE-GGA.

The energy above the lowest structure with this stoichiometry is 0 kJ/mol of formula units. For the volume, the calculation gives 91 Å³ per cell. The calculation puts the density at 8935 kg/m3.

Cell: 3.6660 3.6660 7.2475 Å, 104.65 104.65 90.00°
Positions (direct):
Th  0.0077  0.0077  0.0154
Pm  0.3223  0.3223  0.6447
Cd  0.6699  0.6699  0.3399



Record 7
A geometry-optimized PmThCd structure. Source: Alexandria, functional PBE-GGA.

The energy above the lowest structure with this stoichiometry is 44 kJ/mol of formula units. For the volume, the calculation gives 186 Å³ per cell. The calculation puts the density at 8735 kg/m3.

Cell: 5.3289 5.3289 8.1684 Å, 70.96 70.96 60.00°
Positions (direct):
Cd  0.4367  0.4367  0.6900
Cd  0.5633  0.5633  0.3100
Th  0.2953  0.2953  0.1140
Th  0.7047  0.7047  0.8860
Pm  0.1264  0.1264  0.6209
Pm  0.8736  0.8736  0.3791



Record 8
A geometry-optimized Pm2Th2Cd15 structure. Source: Alexandria, functional PBE-GGA.

For the volume, the calculation gives 465 Å³ per cell. The calculation puts the density at 8722 kg/m3.

Cell: 7.7904 7.7904 7.7904 Å, 83.61 83.61 83.61°
Positions (direct):
Cd  0.1557  0.6329  0.6329
Cd  0.6329  0.6329  0.1557
Cd  0.0000  0.0000  0.5000
Cd  0.5000  0.0000  0.0000
Cd  0.8443  0.3671  0.3671
Cd  0.2954  0.7046  0.0000
Cd  0.6329  0.1557  0.6329
Cd  0.0000  0.7046  0.2954
Cd  0.0000  0.5000  0.0000
Cd  0.3671  0.3671  0.8443
Cd  0.7046  0.0000  0.2954
Cd  0.7046  0.2954  0.0000
Cd  0.3671  0.8443  0.3671
Cd  0.2954  0.0000  0.7046
Cd  0.0000  0.2954  0.7046
Pm  0.9022  0.9022  0.9022
Pm  0.0978  0.0978  0.0978
Th  0.3323  0.3323  0.3323
Th  0.6677  0.6677  0.6677



Record 9
A geometry-optimized Pm2ThCd4 structure. Source: Alexandria, functional PBE-GGA.

For the volume, the calculation gives 211 Å³ per cell. The calculation puts the density at 7646 kg/m3.

Cell: 5.5469 5.5469 7.9007 Å, 110.55 110.55 90.00°
Positions (direct):
Th  0.0000  0.0000  0.0000
Cd  0.8854  0.3854  0.7709
Cd  0.1146  0.6146  0.2291
Cd  0.3854  0.8854  0.7709
Cd  0.6146  0.1146  0.2291
Pm  0.2661  0.2661  0.5322
Pm  0.7339  0.7339  0.4678



Record 10
A geometry-optimized PmThTlCd structure. Source: Alexandria, functional PBE-GGA.

For the volume, the calculation gives 115 Å³ per cell. The calculation puts the density at 9975 kg/m3.

Cell: 5.4663 5.4663 5.4663 Å, 60.00 60.00 60.00°
Positions (direct):
Th  0.5000  0.5000  0.5000
Pm  0.0000  0.0000  0.0000
Tl  0.2500  0.2500  0.2500
Cd  0.7500  0.7500  0.7500



Record 11
A geometry-optimized PmTmThCd structure. Source: Alexandria, functional PBE-GGA.

The energy above the lowest structure with this stoichiometry is 95 kJ/mol of formula units. For the volume, the calculation gives 117 Å³ per cell. The calculation puts the density at 9352 kg/m3.

Cell: 5.4883 5.4883 5.4883 Å, 60.00 60.00 60.00°
Positions (direct):
Th  0.5000  0.5000  0.5000
Pm  0.7500  0.7500  0.7500
Tm  0.0000  0.0000  0.0000
Cd  0.2500  0.2500  0.2500



Record 12
A geometry-optimized PmTmThCd structure. Source: Alexandria, functional PBE-GGA.

The energy above the lowest structure with this stoichiometry is 0 kJ/mol of formula units. For the volume, the calculation gives 117 Å³ per cell. The calculation puts the density at 9379 kg/m3.

Cell: 3.6183 3.6183 8.9040 Å, 90.00 90.00 90.00°
Positions (direct):
Th  0.5000  0.5000  0.8132
Cd  0.5000  0.5000  0.3328
Tm  0.0000  0.0000  0.5506
Pm  0.0000  0.0000  0.0881



Record 13
A geometry-optimized PmYThCd structure. Source: Alexandria, functional PBE-GGA.

The energy above the lowest structure with this stoichiometry is 0 kJ/mol of formula units. For the volume, the calculation gives 119 Å³ per cell. The calculation puts the density at 8072 kg/m3.

Cell: 3.6370 3.6370 8.9943 Å, 90.00 90.00 90.00°
Positions (direct):
Y  0.0000  0.0000  0.5517
Pm  0.0000  0.0000  0.0878
Cd  0.5000  0.5000  0.3279
Th  0.5000  0.5000  0.8172



Record 14
A geometry-optimized PmYThCd structure. Source: Alexandria, functional PBE-GGA.

The energy above the lowest structure with this stoichiometry is 91 kJ/mol of formula units. For the volume, the calculation gives 119 Å³ per cell. The calculation puts the density at 8059 kg/m3.

Cell: 5.5236 5.5236 5.5236 Å, 60.00 60.00 60.00°
Each line ends with the local moment (μB).
Positions (direct):
Th  0.5000  0.5000  0.5000  0.15
Y  0.0000  0.0000  0.0000  0.11
Cd  0.7500  0.7500  0.7500  0.00
Pm  0.2500  0.2500  0.2500  0.18



Record 15
A geometry-optimized PmThZnCd structure. Source: Alexandria, functional PBE-GGA.

For the volume, the calculation gives 106 Å³ per cell. The calculation puts the density at 8683 kg/m3.

Cell: 5.3141 5.3141 5.3141 Å, 60.00 60.00 60.00°
Positions (direct):
Cd  0.7500  0.7500  0.7500
Pm  0.0000  0.0000  0.0000
Th  0.5000  0.5000  0.5000
Zn  0.2500  0.2500  0.2500



Record 16
A geometry-optimized PmTiCd4 structure. Source: Alexandria, functional PBE-GGA.

For the volume, the calculation gives 138 Å³ per cell. The calculation puts the density at 7718 kg/m3.

Cell: 5.8038 5.8038 5.8038 Å, 60.00 60.00 60.00°
Each line ends with the local moment (μB).
Positions (direct):
Cd  0.1235  0.6255  0.6255  0.01
Cd  0.6255  0.6255  0.6255  0.01
Cd  0.6255  0.1235  0.6255  0.01
Cd  0.6255  0.6255  0.1235  0.01
Ti  0.0000  0.0000  0.0000  1.57
Pm  0.2500  0.2500  0.2500  0.24



Record 17
A geometry-optimized Pm8Tl2Cd3 structure. Source: Alexandria, functional PBE-GGA.

For the volume, the calculation gives 413 Å³ per cell. The calculation puts the density at 7665 kg/m3.

Cell: 5.6470 8.7281 9.4460 Å, 117.52 90.02 90.00°
Each line ends with the local moment (μB).
Positions (direct):
Tl  0.5007  0.7764  0.5528  0.00
Tl  0.4993  0.2236  0.4472  0.00
Pm  0.0005  0.6874  0.3749  0.12
Pm  0.0001  0.8973  0.7946  0.24
Pm  0.4998  0.1798  0.7753  0.09
Pm  0.5002  0.4045  0.2247  0.09
Pm  0.9995  0.3126  0.6251  0.12
Pm  0.4998  0.5955  0.7753  0.09
Pm  0.5002  0.8202  0.2247  0.09
Pm  0.9999  0.1027  0.2054  0.24
Cd  0.0000  0.6682  0.0000  0.00
Cd  0.5000  0.0000  0.0000  0.01
Cd  0.0000  0.3318  0.0000  0.00



Record 18
A geometry-optimized Pm2Tl6Cd structure. Source: Alexandria, functional PBE-GGA.

For the volume, the calculation gives 265 Å³ per cell. The calculation puts the density at 10222 kg/m3.

Cell: 3.6080 8.6973 9.4870 Å, 117.28 89.98 90.00°
Positions (direct):
Tl  0.5000  0.3151  0.0000
Tl  0.9998  0.6595  0.6839
Tl  0.0003  0.9757  0.3161
Tl  0.0002  0.3405  0.3161
Tl  0.5000  0.6849  0.0000
Tl  0.9997  0.0243  0.6839
Cd  0.0000  0.0000  0.0000
Pm  0.4999  0.3100  0.6199
Pm  0.5001  0.6900  0.3801



Record 19
A geometry-optimized Pm2TlCd6 structure. Source: Alexandria, functional PBE-GGA.

The energy above the lowest structure with this stoichiometry is 0 kJ/mol of formula units. For the volume, the calculation gives 231 Å³ per cell. The calculation puts the density at 8386 kg/m3.

Cell: 3.4080 8.8556 8.8556 Å, 120.00 90.00 90.00°
Positions (direct):
Cd  0.5000  0.0000  0.6673
Cd  0.5000  0.6673  0.0000
Cd  0.5000  0.3327  0.0000
Cd  0.5000  0.6673  0.6673
Cd  0.5000  0.3327  0.3327
Cd  0.5000  0.0000  0.3327
Tl  0.0000  0.0000  0.0000
Pm  0.0000  0.3333  0.6667
Pm  0.0000  0.6667  0.3333



Record 20
A geometry-optimized PmTl2Cd structure. Source: Alexandria, functional PBE-GGA.

For the volume, the calculation gives 110 Å³ per cell. The calculation puts the density at 10019 kg/m3.

Cell: 4.9209 4.9209 5.9828 Å, 65.72 65.72 60.00°
Positions (direct):
Cd  0.5000  0.5000  0.5000
Tl  0.7636  0.7636  0.7091
Tl  0.2364  0.2364  0.2909
Pm  0.0000  0.0000  0.0000



Formation energy for the records above, in order: -0.11, 0.00, -0.02, -0.21, 0.11, -0.10, 0.06, -0.05, -0.06, -0.20, 0.08, -0.16, -0.17, 0.07, -0.17, -0.06, -0.10, -0.10, -0.22, -0.19 eV per atom